Here is an optimized crystal structure of HfZr4 from Alexandria. Energies are from PBE-GGA.

Fermi-level density of states   1.214 states/eV per atom
Crystal system   orthorhombic
E above lowest polymorph   0 meV per atom

abc: 4.913 6.277 8.460
angles: 111.77 106.88 90.00
Fractional positions:
Hf: 0.896 0.146 0.791
Hf: 0.104 0.854 0.209
Zr: 0.102 0.352 0.205
Zr: 0.898 0.648 0.795
Zr: 0.500 0.000 0.000
Zr: 0.500 0.500 0.000
Zr: 0.701 0.201 0.403
Zr: 0.299 0.799 0.597
Zr: 0.299 0.298 0.597
Zr: 0.701 0.702 0.403